A plane-wave DFT calculation with GGA-PBE was carried out for crystalline Er2Al2SnPd5 at its relaxed geometry.

The energy relative to the elements comes out at -7.9 eV per formula unit. Its crystal system is tetragonal.

The structure belongs to space group P4/mbm (No. 127); the cell edges are 9.983, 9.983 and 3.686 Å and the angles 90.00°, 90.00° and 90.00°. Symmetry generates all atoms from Er at (0.179, 0.321, 0.000), Al at (0.117, 0.617, 0.000), Sn at (0.000, 0.000, 0.000), Pd at (0.000, 0.500, 0.500) and Pd at (0.064, 0.787, 0.500).

***

A plane-wave DFT calculation with GGA-PBE was carried out for crystalline TbEr2AlPd4 at its relaxed geometry.

The energy relative to the elements comes out at -6.9 eV per formula unit. Its crystal system is trigonal.

The structure belongs to space group R-3m (No. 166, hexagonal axes); the cell edges are 4.7990, 4.7990 and 23.7709 Å and the angles 90.00°, 90.00° and 120.00°. Symmetry generates all atoms from Tb at (0.0000, 0.0000, 0.0000), Er at (0.0000, 0.0000, 0.2447), Al at (0.0000, 0.0000, 0.5000), Pd at (0.0000, 0.0000, 0.1269) and Pd at (0.0000, 0.0000, 0.3879).

***

A plane-wave DFT calculation with GGA-PBE was carried out for crystalline ErThAlPd at its relaxed geometry.

The energy relative to the elements comes out at -1.8 eV per formula unit. Its crystal system is cubic.

The structure belongs to space group F-43m (No. 216); the cell edges are 7.263, 7.263 and 7.263 Å and the angles 90.00°, 90.00° and 90.00°. Symmetry generates all atoms from Er at (0.000, 0.000, 0.000), Th at (0.000, 0.000, 0.500), Al at (0.250, 0.250, 0.750) and Pd at (0.250, 0.250, 0.250).

***

A plane-wave DFT calculation with GGA-PBE was carried out for crystalline Er2TiAl2Pd5 at its relaxed geometry.

The energy relative to the elements comes out at -7.7 eV per formula unit. Its crystal system is tetragonal.

The structure belongs to space group P4/mbm (No. 127); the cell edges are 10.009, 10.009 and 3.559 Å and the angles 90.00°, 90.00° and 90.00°. Symmetry generates all atoms from Er at (0.175, 0.325, 0.000), Ti at (0.000, 0.000, 0.000), Al at (0.125, 0.625, 0.000), Pd at (0.000, 0.500, 0.500) and Pd at (0.056, 0.798, 0.500).

***

A plane-wave DFT calculation with GGA-PBE was carried out for crystalline ErAlZn2Pd4 at its relaxed geometry.

The energy relative to the elements comes out at -5.9 eV per formula unit. Its crystal system is trigonal.

The structure belongs to space group R-3m (No. 166, hexagonal axes); the cell edges are 4.4762, 4.4762 and 22.2514 Å and the angles 90.00°, 90.00° and 120.00°. Symmetry generates all atoms from Er at (0.0000, 0.0000, 0.0000), Al at (0.0000, 0.0000, 0.5000), Zn at (0.0000, 0.0000, 0.2504), Pd at (0.0000, 0.0000, 0.1305) and Pd at (0.0000, 0.0000, 0.3877).

***

A plane-wave DFT calculation with GGA-PBE was carried out for crystalline Er2AlZn12Pd3 at its relaxed geometry.

The energy relative to the elements comes out at -3.9 eV per formula unit. Its crystal system is trigonal.

The structure belongs to space group R-3m (No. 166, hexagonal axes); the cell edges are 8.9908, 8.9908 and 12.9010 Å and the angles 90.00°, 90.00° and 120.00°. Symmetry generates all atoms from Er at (0.0000, 0.0000, 0.2458), Al at (0.0000, 0.0000, 0.5000), Zn at (0.0126, 0.5063, 0.2096), Zn at (0.0602, 0.5301, 0.5981) and Pd at (0.0000, 0.5000, 0.0000).

***

A plane-wave DFT calculation with GGA-PBE was carried out for crystalline ErAl2ZnPd4 at its relaxed geometry.

The energy relative to the elements comes out at -6.3 eV per formula unit. Its crystal system is trigonal.

The structure belongs to space group R-3m (No. 166, hexagonal axes); the cell edges are 4.3313, 4.3313 and 24.6020 Å and the angles 90.00°, 90.00° and 120.00°. Symmetry generates all atoms from Er at (0.0000, 0.0000, 0.0000), Al at (0.0000, 0.0000, 0.2414), Zn at (0.0000, 0.0000, 0.5000), Pd at (0.0000, 0.0000, 0.1293) and Pd at (0.0000, 0.0000, 0.3971).

***

A plane-wave DFT calculation with GGA-PBE was carried out for crystalline Er2Al4ZnPd3 at its relaxed geometry.

The energy relative to the elements comes out at -7.4 eV per formula unit. Its crystal system is tetragonal.

The structure belongs to space group P-4m2 (No. 115); the cell edges are 4.139, 4.139 and 10.789 Å and the angles 90.00°, 90.00° and 90.00°. Symmetry generates all atoms from Er at (0.000, 0.500, 0.248), Al at (0.000, 0.000, 0.000), Al at (0.000, 0.500, 0.635), Al at (0.500, 0.500, 0.000), Zn at (0.000, 0.000, 0.500), Pd at (0.000, 0.500, 0.864) and Pd at (0.500, 0.500, 0.500).